Computed, not measured: ScTc2C2 after structural relaxation at the GGA-PBE level of DFT.

Computed properties:
- Offset from the most stable computed form: 0.0 meV/atom
- N(E_F): 1.38 states/eV/atom
- Electronic total energy: -44.69 eV per formula unit
- V: 13.70 A^3/atom
- ΔE_f: 164 meV per atom

a b c (Å): 3.884 3.884 9.078
angles (deg): 90.00 90.00 90.00
Space group I4/mmm (No. 139)
Symmetry-distinct sites (fractional):
Sc1 0.000 0.000 0.000
Tc1 0.000 0.500 0.250
C1 0.000 0.000 0.329